Here is a geometry-optimized Sm3Y6Er2Tm structure from the Alexandria database. Energies are from PBE.

magnetization	0.00	μB/cell
raw total energy	-5.523	eV per atom

a = 6.180 Å, b = 6.180 Å, c = 11.808 Å
α = 94.99°, β = 94.99°, γ = 119.95°
Positions (direct):
1 Er 0.333 0.667 0.000
2 Er 0.667 0.333 0.000
3 Y 0.749 0.749 0.247
4 Tm 0.000 0.000 0.000
5 Y 0.918 0.585 0.753
6 Sm 0.167 0.833 0.500
7 Sm 0.500 0.500 0.500
8 Y 0.082 0.415 0.247
9 Y 0.415 0.082 0.247
10 Sm 0.833 0.167 0.500
11 Y 0.251 0.251 0.753
12 Y 0.585 0.918 0.753